Here is a geometry-optimized PrFeF5 structure from Alexandria. Energies are from GGA+U.

Lattice parameters (Å, degrees): 9.4162 6.9489 7.9617 90.00 114.87 90.00
Space group C2/c (No. 15)
Asymmetric unit:
Pr 0.0000 0.0539 0.2500 [4 per cell]
Fe 0.0000 0.5000 0.0000 [4 per cell]
F 0.0000 0.3935 0.2500 [4 per cell]
F 0.0064 0.1879 0.9665 [8 per cell]
F 0.2340 0.4826 0.6192 [8 per cell]

Computed properties:
- size of the total moment (μB per cell) = 16.00
- total energy (eV for the cell shown) = -173.1